VASP calculation (PBE+U) on an optimized crystal structure of Mn2IF.

## Properties
Polymorph energy (0 for the lowest one) ... 389 meV per atom
DFT total energy ... -4.713 eV/atom

a b c (Å): 5.015 5.015 5.015
angles (deg): 60.00 60.00 60.00
Positions (direct):
Mn 0.250 0.250 0.250
Mn 0.750 0.750 0.750
I 0.000 0.000 0.000
F 0.500 0.500 0.500